{
  "formula": "TmSBr",
  "functional": "PBE",
  "state": "optimized geometry",
  "formation_energy_uncorrected_ev_per_fu": -5.8,
  "n_ef_per_ev_fu": 0.0,
  "mass_density_g_cm3": 4.77,
  "cell": [[7.5229, -2.0092, 0.0000], [7.5229, 2.0092, 0.0000], [-2.7539, 0.0000, 6.4711]],
  "species": ["Tm", "Tm", "S", "S", "Br", "Br"],
  "frac_coords": [[0.2443, 0.2443, 0.2738], [0.7557, 0.7557, 0.7262], [0.3525, 0.3525, 0.6691], [0.6475, 0.6475, 0.3309], [0.1371, 0.1371, 0.8252], [0.8629, 0.8629, 0.1748]]
}